[1]
{"formula": "Ag2PbBr", "functional": "PBE-GGA", "state": "optimized geometry", "raw_formation_energy_ev_per_atom": 0.172, "dos_at_fermi_per_ev_atom": 0.276, "de_polymorph_ev_per_atom": 0.252, "dft_energy_ev_per_atom": -2.599, "lattice_angstrom": [[0.000, 3.689, 3.689], [3.689, 0.000, 3.689], [3.689, 3.689, 0.000]], "species": ["Ag", "Ag", "Pb", "Br"], "fractional_positions": [[0.000, 0.000, 0.000], [0.250, 0.250, 0.250], [0.500, 0.500, 0.500], [0.750, 0.750, 0.750]]}

[2]
{"formula": "Ag2PbBr", "functional": "PBE-GGA", "state": "optimized geometry", "raw_formation_energy_ev_per_atom": 0.051, "dos_at_fermi_per_ev_atom": 0.237, "de_polymorph_ev_per_atom": 0.131, "dft_energy_ev_per_atom": -2.720, "lattice_angstrom": [[5.100, 0.000, 0.000], [0.000, 3.477, 0.000], [-1.887, 0.000, 5.530]], "species": ["Ag", "Ag", "Pb", "Br"], "fractional_positions": [[0.000, 0.000, 0.000], [0.500, 0.500, 0.000], [0.000, 0.500, 0.500], [0.500, 0.000, 0.500]]}

[3]
{"formula": "AgPb2Br6", "functional": "PBE-GGA", "state": "optimized geometry", "raw_formation_energy_ev_per_atom": -0.643, "dos_at_fermi_per_ev_atom": 0.352, "de_polymorph_ev_per_atom": 0.000, "dft_energy_ev_per_atom": -2.899, "lattice_angstrom": [[7.007, 0.000, 0.000], [0.000, 7.724, 0.000], [-5.716, 0.000, 11.124]], "species": ["Ag", "Ag", "Pb", "Pb", "Pb", "Pb", "Br", "Br", "Br", "Br", "Br", "Br", "Br", "Br", "Br", "Br", "Br", "Br"], "fractional_positions": [[0.000, 0.000, 0.000], [0.000, 0.500, 0.500], [0.200, 0.091, 0.711], [0.200, 0.409, 0.211], [0.800, 0.591, 0.789], [0.800, 0.909, 0.289], [0.122, 0.196, 0.451], [0.122, 0.304, 0.951], [0.225, 0.663, 0.411], [0.225, 0.837, 0.911], [0.399, 0.050, 0.264], [0.399, 0.450, 0.764], [0.601, 0.550, 0.236], [0.601, 0.950, 0.736], [0.775, 0.163, 0.089], [0.775, 0.337, 0.589], [0.878, 0.696, 0.049], [0.878, 0.804, 0.549]]}